(1)
Rb3LaRu: relaxed, GGA-PBE.

Cell lengths 7.911, 7.314, 9.405 Å; angles 90.00, 91.98, 90.00 degrees
Fractional positions:
1 Rb 0.046 0.004 0.276
2 Rb 0.046 0.496 0.276
3 Rb 0.441 0.250 0.890
4 Rb 0.559 0.750 0.110
5 Rb 0.954 0.504 0.724
6 Rb 0.954 0.996 0.724
7 La 0.443 0.750 0.569
8 La 0.557 0.250 0.431
9 Ru 0.312 0.250 0.539
10 Ru 0.688 0.750 0.461

Properties
DOS at the Fermi energy: 5.99 states/eV per cell
Distance to the lowest polymorph of the same formula: 0.188 eV/atom
DFT formation energy: 0.349 eV/atom

=====

(2)
RbLa3Ru: relaxed, GGA-PBE.

Cell lengths 5.499, 5.499, 5.499 Å; angles 90.00, 90.00, 90.00 degrees
Fractional positions:
1 Rb 0.000 0.000 0.000
2 La 0.000 0.000 0.500
3 La 0.000 0.500 0.000
4 La 0.500 0.000 0.000
5 Ru 0.500 0.500 0.500

Properties
DOS at the Fermi energy: 5.79 states/eV per cell
Distance to the lowest polymorph of the same formula: 1.648 eV/atom
DFT formation energy: 1.683 eV/atom

=====

(3)
RbLa3Ru: relaxed, GGA-PBE.

Cell lengths 5.757, 5.757, 5.757 Å; angles 90.00, 90.00, 90.00 degrees
Fractional positions:
1 Rb 0.000 0.000 0.000
2 La 0.000 0.500 0.500
3 La 0.500 0.000 0.500
4 La 0.500 0.500 0.000
5 Ru 0.500 0.500 0.500

Properties
DOS at the Fermi energy: 3.79 states/eV per cell
Distance to the lowest polymorph of the same formula: 0.000 eV/atom
DFT formation energy: 0.034 eV/atom

=====

(4)
Rb3LaRu: relaxed, GGA-PBE.

Cell lengths 14.325, 14.325, 14.325 Å; angles 155.74, 155.74, 34.58 degrees
Fractional positions:
1 Rb 0.221 0.221 0.000
2 Rb 0.373 0.124 0.751
3 Rb 0.373 0.621 0.249
4 Rb 0.379 0.627 0.751
5 Rb 0.779 0.779 0.000
6 Rb 0.876 0.627 0.249
7 La 0.512 0.012 0.500
8 La 0.988 0.488 0.500
9 Ru 0.250 0.750 0.500
10 Ru 0.500 0.500 0.000

Properties
DOS at the Fermi energy: 14.36 states/eV per cell
Distance to the lowest polymorph of the same formula: 0.705 eV/atom
DFT formation energy: 0.866 eV/atom

=====

(5)
Rb3LaRu: relaxed, GGA-PBE.

Cell lengths 5.168, 7.361, 15.575 Å; angles 98.61, 98.28, 96.22 degrees
Fractional positions:
1 Rb 0.000 0.000 0.000
2 Rb 0.092 0.546 0.262
3 Rb 0.368 0.901 0.718
4 Rb 0.488 0.492 0.980
5 Rb 0.606 0.030 0.272
6 Rb 0.860 0.415 0.708
7 La 0.232 0.222 0.490
8 La 0.728 0.723 0.490
9 Ru 0.169 0.888 0.475
10 Ru 0.287 0.557 0.505

Properties
DOS at the Fermi energy: 6.82 states/eV per cell
Distance to the lowest polymorph of the same formula: 0.006 eV/atom
DFT formation energy: 0.168 eV/atom

=====

(6)
Rb3LaRu: relaxed, GGA-PBE.

Cell lengths 12.712, 12.712, 12.712 Å; angles 29.07, 29.07, 29.07 degrees
Fractional positions:
1 Rb 0.105 0.441 0.768
2 Rb 0.232 0.895 0.559
3 Rb 0.441 0.768 0.105
4 Rb 0.559 0.232 0.895
5 Rb 0.768 0.105 0.441
6 Rb 0.895 0.559 0.232
7 La 0.333 0.333 0.333
8 La 0.667 0.667 0.667
9 Ru 0.031 0.031 0.031
10 Ru 0.969 0.969 0.969

Properties
DOS at the Fermi energy: 9.93 states/eV per cell
Distance to the lowest polymorph of the same formula: 0.643 eV/atom
DFT formation energy: 0.804 eV/atom

=====

(7)
RbLaRuS2: relaxed, GGA-PBE.

Cell lengths 5.710, 5.710, 5.052 Å; angles 90.00, 90.00, 90.00 degrees
Fractional positions:
1 Rb 0.000 0.000 0.000
2 La 0.500 0.500 0.500
3 Ru 0.500 0.500 0.000
4 S 0.000 0.500 0.500
5 S 0.500 0.000 0.500

Properties
DOS at the Fermi energy: 6.13 states/eV per cell
Energy relative to the elements, uncorrected: -0.0825 eV/atom

=====

(8)
RbSr2LaRu: relaxed, GGA-PBE.

Cell lengths 6.419, 6.419, 5.212 Å; angles 90.00, 90.00, 90.00 degrees
Fractional positions:
1 Rb 0.000 0.000 0.000
2 Sr 0.000 0.500 0.500
3 Sr 0.500 0.000 0.500
4 La 0.500 0.500 0.000
5 Ru 0.500 0.500 0.500

Properties
DOS at the Fermi energy: 5.60 states/eV per cell
Distance to the lowest polymorph of the same formula: 0.000 eV/atom
DFT formation energy: 0.104 eV/atom

=====

(9)
RbSrLa2Ru: relaxed, GGA-PBE.

Cell lengths 5.555, 5.555, 6.507 Å; angles 90.00, 90.00, 90.00 degrees
Fractional positions:
1 Rb 0.000 0.000 0.000
2 Sr 0.500 0.500 0.000
3 La 0.000 0.500 0.500
4 La 0.500 0.000 0.500
5 Ru 0.500 0.500 0.500

Properties
DOS at the Fermi energy: 4.11 states/eV per cell
DFT formation energy: 0.042 eV/atom

=====

(10)
RbSr2LaRu: relaxed, GGA-PBE.

Cell lengths 5.809, 5.809, 5.676 Å; angles 90.00, 90.00, 90.00 degrees
Fractional positions:
1 Rb 0.000 0.000 0.000
2 Sr 0.000 0.500 0.000
3 Sr 0.500 0.000 0.000
4 La 0.000 0.000 0.500
5 Ru 0.500 0.500 0.500

Properties
DOS at the Fermi energy: 10.12 states/eV per cell
Distance to the lowest polymorph of the same formula: 1.658 eV/atom
DFT formation energy: 1.761 eV/atom

=====

(11)
RbLa2ZnRu: relaxed, GGA-PBE.

Cell lengths 5.479, 5.479, 5.380 Å; angles 90.00, 90.00, 90.00 degrees
Fractional positions:
1 Rb 0.000 0.000 0.000
2 La 0.000 0.500 0.500
3 La 0.500 0.000 0.500
4 Zn 0.500 0.500 0.000
5 Ru 0.500 0.500 0.500

Properties
DOS at the Fermi energy: 3.74 states/eV per cell
DFT formation energy: 0.025 eV/atom

=====

(12)
RbLaS3: relaxed, GGA-PBE.

Cell lengths 5.245, 5.245, 5.245 Å; angles 90.00, 90.00, 90.00 degrees
Fractional positions:
1 Rb 0.000 0.000 0.000
2 La 0.500 0.500 0.500
3 S 0.000 0.000 0.500
4 S 0.000 0.500 0.000
5 S 0.500 0.000 0.000

Properties
DOS at the Fermi energy: 2.00 states/eV per cell
Distance to the lowest polymorph of the same formula: 1.053 eV/atom
Energy relative to the elements, uncorrected: 0.0461 eV/atom

=====

The records above yield E values of -15.4 -16.6 -24.9 -12.8 -16.3 -13.1 -23.8 -18.0 -21.6 -9.7 -21.2 -18.0 eV/f.u., respectively.